(1)
## K2Y2RuO6 (PBE)

Data for a relaxed structure of K2Y2RuO6.

Properties
DFT total energy	-7.133	eV per atom

Lattice parameters (Å, degrees): 5.806 9.956 6.581 90.00 105.35 90.00
Space group C2/m (No. 12)
Asymmetric unit:
K  0.000  0.160  0.000 [4 per cell]
Y  0.000  0.336  0.500 [4 per cell]
Ru  0.000  0.000  0.500 [2 per cell]
O  0.203  0.155  0.672 [8 per cell]
O  0.250  0.000  0.324 [4 per cell]

***

(2)
## KY2RuO8 (PBE)

Data for a relaxed structure of KY2RuO8.

Properties
DFT total energy	-7.092	eV per atom

Lattice parameters (Å, degrees): 4.116 5.292 7.170 89.74 75.04 89.42
Space group P-1 (No. 2)
Asymmetric unit:
K  0.000  0.000  0.000 [1 per cell]
Y  0.382  0.518  0.288 [2 per cell]
Ru  0.000  0.000  0.500 [1 per cell]
O  0.178  0.495  0.003 [2 per cell]
O  0.185  0.322  0.585 [2 per cell]
O  0.210  0.789  0.638 [2 per cell]
O  0.355  0.957  0.270 [2 per cell]

***

(3)
## K3Y3RuO8 (PBE)

Data for a relaxed structure of K3Y3RuO8.

Properties
DFT total energy	-7.139	eV per atom

Lattice parameters (Å, degrees): 6.7736 6.7736 18.8362 90.00 90.00 120.00
Space group R-3m (No. 166, hexagonal axes)
Asymmetric unit:
K  0.0000  0.5000  0.0000 [9 per cell]
Y  0.0000  0.5000  0.5000 [9 per cell]
Ru  0.0000  0.0000  0.5000 [3 per cell]
O  0.0000  0.0000  0.2280 [6 per cell]
O  0.0275  0.5138  0.2247 [18 per cell]

***

(4)
## KZn2RuO6 (PBE)

Data for a relaxed structure of KZn2RuO6.

Properties
DFT total energy	-5.300	eV per atom

Lattice parameters (Å, degrees): 9.659 10.789 6.847 90.00 115.87 90.00
Space group C2/c (No. 15)
Asymmetric unit:
K  0.000  0.162  0.250 [4 per cell]
Zn  0.126  0.465  0.191 [8 per cell]
Ru  0.000  0.179  0.750 [4 per cell]
O  0.107  0.267  0.982 [8 per cell]
O  0.121  0.432  0.461 [8 per cell]
O  0.125  0.082  0.689 [8 per cell]

***

(5)
## KZrRuO6 (PBE)

Data for a relaxed structure of KZrRuO6.

Properties
DFT total energy	-7.063	eV per atom

Lattice parameters (Å, degrees): 5.4324 5.4324 5.9458 90.00 90.00 120.00
Space group P312 (No. 149)
Asymmetric unit:
K  0.0000  0.0000  0.0000 [1 per cell]
Zr  0.3333  0.6667  0.5000 [1 per cell]
Ru  0.6667  0.3333  0.5000 [1 per cell]
O  0.4022  0.0272  0.6856 [6 per cell]

***

(6)
## K2ZrRu3O12 (PBE)

Data for a relaxed structure of K2ZrRu3O12.

Properties
DFT total energy	-6.787	eV per atom

Lattice parameters (Å, degrees): 7.2554 7.2554 18.4143 90.00 90.00 120.00
Space group R-3m (No. 166, hexagonal axes)
Asymmetric unit:
K  0.0000  0.0000  0.1237 [6 per cell]
Zr  0.0000  0.0000  0.5000 [3 per cell]
Ru  0.0000  0.5000  0.0000 [9 per cell]
O  0.0582  0.5291  0.1019 [18 per cell]
O  0.0787  0.5393  0.3472 [18 per cell]

***

(7)
## K12S3O5 (PBE)

Data for a relaxed structure of K12S3O5.

Properties
DFT total energy	-3.411	eV per atom

Lattice parameters (Å, degrees): 16.870 16.870 16.870 90.00 90.00 90.00
Space group Ia-3d (No. 230)
Asymmetric unit:
K  0.028  0.058  0.648 [96 per cell]
S  0.000  0.250  0.125 [24 per cell]
O  0.000  0.000  0.000 [16 per cell]
O  0.000  0.250  0.375 [24 per cell]

***

(8)
## K2S2O5 (PBE)

Data for a relaxed structure of K2S2O5.

Properties
polymorph energy (0 for the lowest one)	0.000	eV/atom
DFT total energy	-5.510	eV per atom

Lattice parameters (Å, degrees): 7.161 6.229 7.727 90.00 101.49 90.00
Space group P2_1/m (No. 11)
Asymmetric unit:
K  0.144  0.250  0.174 [2 per cell]
K  0.285  0.750  0.572 [2 per cell]
S  0.196  0.250  0.740 [2 per cell]
S  0.472  0.750  0.182 [2 per cell]
O  0.133  0.052  0.820 [4 per cell]
O  0.141  0.250  0.543 [2 per cell]
O  0.427  0.551  0.277 [4 per cell]